(1)
VASP calculation (PBE-GGA) on Nd12DyHg6 after structural relaxation.

The space group is R-3 (No. 148, hexagonal axes) and the conventional cell measures 11.5367, 11.5367 and 14.8640 Å, with angles of 90.00, 90.00 and 120.00 degrees. The inequivalent atoms are Nd at (0.0575, 0.2228, 0.4113), Nd at (0.0738, 0.8822, 0.7989), Dy at (0.0000, 0.0000, 0.0000) and Hg at (0.0350, 0.5913, 0.7142).

Its density of states at the Fermi level is 1.134 states/eV per atom. The total magnetization is 0.00 μB/f.u. The calculation puts the formation energy from the elements at -0.200 eV/atom.

---

(2)
VASP calculation (PBE-GGA) on TiB2MoAs after structural relaxation.

The space group is P4/mmm (No. 123) and the conventional cell measures 4.109, 4.109 and 4.817 Å, with angles of 90.00, 90.00 and 90.00 degrees. The inequivalent atoms are Ti at (0.000, 0.000, 0.000), B at (0.000, 0.500, 0.000), Mo at (0.000, 0.000, 0.500) and As at (0.500, 0.500, 0.500).

Its density of states at the Fermi level is 0.674 states/eV per atom. The total magnetization is 0.00 μB/f.u. The calculation puts the formation energy from the elements at 1.594 eV/atom.

---

(3)
VASP calculation (PBE-GGA) on CaZn2Ni6 after structural relaxation.

The space group is Fd-3m (No. 227, origin choice 2) and the conventional cell measures 10.505, 10.505 and 10.505 Å, with angles of 90.00, 90.00 and 90.00 degrees. The inequivalent atoms are Ca at (0.125, 0.125, 0.125), Zn at (0.000, 0.000, 0.500) and Ni at (0.117, 0.375, 0.375).

Its density of states at the Fermi level is 1.740 states/eV per atom. The total magnetization is 0.00 μB/f.u. The calculation puts the formation energy from the elements at 0.528 eV/atom.

---

(4)
VASP calculation (PBE-GGA) on Li2Ac2SiO6 after structural relaxation.

The space group is C2/m (No. 12) and the conventional cell measures 6.076, 10.581 and 5.066 Å, with angles of 90.00, 101.99 and 90.00 degrees. The inequivalent atoms are Li at (0.000, 0.103, 0.000), Ac at (0.000, 0.336, 0.500), Si at (0.000, 0.000, 0.500), O at (0.163, 0.134, 0.709) and O at (0.200, 0.000, 0.287).

Its density of states at the Fermi level is 0.000 states/eV per atom. Its formation energy (no corrections) is -2.570 eV per atom. The total magnetization is 0.00 μB/f.u.

---

(5)
VASP calculation (PBE-GGA) on TaGaPd3 after structural relaxation.

The space group is P-1 (No. 2) and the conventional cell measures 2.876, 5.456 and 10.615 Å, with angles of 80.40, 82.27 and 74.74 degrees. The inequivalent atoms are Ta at (0.026, 0.324, 0.123), Ga at (0.312, 0.564, 0.314), Pd at (0.117, 0.733, 0.530), Pd at (0.306, 0.808, 0.082) and Pd at (0.396, 0.007, 0.700).

The value obtained for the polymorph energy (0 for the lowest one) is 0.000 eV/atom. Its density of states at the Fermi level is 0.666 states/eV per atom. The total magnetization is 0.00 μB/f.u. The calculation puts the formation energy from the elements at -0.383 eV/atom.

---

(6)
VASP calculation (PBE-GGA) on Pm2Sm5ErSc after structural relaxation.

The space group is Cmc2_1 (No. 36) and the conventional cell measures 5.378, 21.956 and 10.136 Å, with angles of 90.00, 90.00 and 90.00 degrees. The inequivalent atoms are Pm at (0.000, 0.116, 0.000), Pm at (0.000, 0.116, 0.495), Sm at (0.000, 0.001, 0.248), Sm at (0.000, 0.278, 0.061), Sm at (0.000, 0.278, 0.436), Sm at (0.000, 0.373, 0.748), Sm at (0.000, 0.500, 0.498), Er at (0.000, 0.398, 0.248) and Sc at (0.000, 0.213, 0.748).

Its density of states at the Fermi level is 1.417 states/eV per atom. The total magnetization is 0.00 μB/f.u. The calculation puts the formation energy from the elements at 0.123 eV/atom.

---

(7)
VASP calculation (PBE-GGA) on CsSrCa2Pd after structural relaxation.

The space group is P4/mmm (No. 123) and the conventional cell measures 5.938, 5.938 and 6.174 Å, with angles of 90.00, 90.00 and 90.00 degrees. The inequivalent atoms are Cs at (0.000, 0.000, 0.000), Sr at (0.500, 0.500, 0.000), Ca at (0.000, 0.500, 0.500) and Pd at (0.500, 0.500, 0.500).

Its density of states at the Fermi level is 0.885 states/eV per atom. The total magnetization is 0.00 μB/f.u. The calculation puts the formation energy from the elements at -0.188 eV/atom.

---

(8)
VASP calculation (PBE-GGA) on Al4CuCl after structural relaxation.

The space group is F-43m (No. 216) and the conventional cell measures 7.660, 7.660 and 7.660 Å, with angles of 90.00, 90.00 and 90.00 degrees. The inequivalent atoms are Al at (0.124, 0.124, 0.376), Cu at (0.250, 0.250, 0.750) and Cl at (0.000, 0.000, 0.000).

Its density of states at the Fermi level is 0.608 states/eV per atom. Its formation energy (no corrections) is 0.293 eV per atom. The total magnetization is 0.00 μB/f.u.

---

(9)
VASP calculation (PBE-GGA) on TbTmSi2Pt5 after structural relaxation.

The space group is P4/mmm (No. 123) and the conventional cell measures 4.183, 4.183 and 8.934 Å, with angles of 90.00, 90.00 and 90.00 degrees. The inequivalent atoms are Tb at (0.000, 0.000, 0.000), Tm at (0.000, 0.000, 0.500), Si at (0.500, 0.500, 0.370), Pt at (0.000, 0.500, 0.237) and Pt at (0.500, 0.500, 0.000).

Its density of states at the Fermi level is 0.365 states/eV per atom. Its formation energy (no corrections) is -1.099 eV per atom. The total magnetization is 0.00 μB/f.u.

---

(10)
VASP calculation (PBE-GGA) on Pa2GeAu after structural relaxation.

The space group is P2_1/m (No. 11) and the conventional cell measures 5.976, 4.032 and 8.333 Å, with angles of 90.00, 110.19 and 90.00 degrees. The inequivalent atoms are Pa at (0.202, 0.250, 0.422), Pa at (0.210, 0.250, 0.935), Ge at (0.323, 0.750, 0.706) and Au at (0.353, 0.750, 0.217).

The value obtained for the polymorph energy (0 for the lowest one) is 0.000 eV/atom. Its density of states at the Fermi level is 1.559 states/eV per atom. The total magnetization is 0.00 μB/f.u. The calculation puts the formation energy from the elements at -0.306 eV/atom.

---

(11)
VASP calculation (PBE-GGA) on K4UPa3Se8 after structural relaxation.

The space group is R-3m (No. 166, hexagonal axes) and the conventional cell measures 8.3094, 8.3094 and 23.6809 Å, with angles of 90.00, 90.00 and 120.00 degrees. The inequivalent atoms are K at (0.0000, 0.0000, 0.0000), K at (0.0000, 0.5000, 0.0000), U at (0.0000, 0.0000, 0.5000), Pa at (0.0000, 0.5000, 0.5000), Se at (0.0000, 0.0000, 0.2379) and Se at (0.0017, 0.5008, 0.7625).

Its density of states at the Fermi level is 0.959 states/eV per atom. Its formation energy (no corrections) is -1.301 eV per atom. The total magnetization is 8.93 μB/f.u.

---

(12)
VASP calculation (PBE-GGA) on LiLaCeSn after structural relaxation.

The space group is F-43m (No. 216) and the conventional cell measures 7.709, 7.709 and 7.709 Å, with angles of 90.00, 90.00 and 90.00 degrees. The inequivalent atoms are Li at (0.000, 0.000, 0.000), La at (0.250, 0.250, 0.750), Ce at (0.250, 0.250, 0.250) and Sn at (0.000, 0.000, 0.500).

Its density of states at the Fermi level is 2.636 states/eV per atom. The total magnetization is 1.36 μB/f.u. The calculation puts the formation energy from the elements at -0.327 eV/atom.

---

(13)
VASP calculation (PBE-GGA) on Na2CaEu after structural relaxation.

The space group is P4/mmm (No. 123) and the conventional cell measures 4.289, 4.289 and 8.734 Å, with angles of 90.00, 90.00 and 90.00 degrees. The inequivalent atoms are Na at (0.000, 0.000, 0.239), Ca at (0.500, 0.500, 0.000) and Eu at (0.500, 0.500, 0.500).

The value obtained for the polymorph energy (0 for the lowest one) is 0.000 eV/atom. Its density of states at the Fermi level is 3.312 states/eV per atom. The total magnetization is 7.49 μB/f.u. The calculation puts the formation energy from the elements at 0.095 eV/atom.

---

(14)
VASP calculation (PBE-GGA) on RbBiBr2 after structural relaxation.

The space group is I-42d (No. 122) and the conventional cell measures 6.297, 6.297 and 18.754 Å, with angles of 90.00, 90.00 and 90.00 degrees. The inequivalent atoms are Rb at (0.000, 0.000, 0.000), Bi at (0.000, 0.000, 0.500) and Br at (0.177, 0.250, 0.625).

The value obtained for the polymorph energy (0 for the lowest one) is 0.151 eV/atom. Its density of states at the Fermi level is 0.021 states/eV per atom. Its formation energy (no corrections) is -0.685 eV per atom. The total magnetization is 0.00 μB/f.u.

---

(15)
VASP calculation (PBE-GGA) on Cs2Cu2BiSe4 after structural relaxation.

The space group is C2/m (No. 12) and the conventional cell measures 15.835, 4.172 and 8.499 Å, with angles of 90.00, 109.49 and 90.00 degrees. The inequivalent atoms are Cs at (0.133, 0.000, 0.047), Cu at (0.192, 0.500, 0.490), Bi at (0.000, 0.000, 0.500), Se at (0.033, 0.500, 0.282) and Se at (0.199, 0.000, 0.659).

Its density of states at the Fermi level is 0.861 states/eV per atom. Its formation energy (no corrections) is -0.613 eV per atom. The total magnetization is 0.00 μB/f.u.

---

(16)
VASP calculation (PBE-GGA) on Ac4SbTeSe2 after structural relaxation.

The space group is I4/mmm (No. 139) and the conventional cell measures 6.540, 6.540 and 13.115 Å, with angles of 90.00, 90.00 and 90.00 degrees. The inequivalent atoms are Ac at (0.000, 0.000, 0.248), Ac at (0.000, 0.500, 0.000), Sb at (0.000, 0.000, 0.000), Te at (0.000, 0.000, 0.500) and Se at (0.000, 0.500, 0.250).

Its density of states at the Fermi level is 0.347 states/eV per atom. Its formation energy (no corrections) is -1.599 eV per atom. The total magnetization is 0.00 μB/f.u.

---

(17)
VASP calculation (PBE-GGA) on Na4Pu3NpSe8 after structural relaxation.

The space group is C2/m (No. 12) and the conventional cell measures 14.578, 8.416 and 8.463 Å, with angles of 90.00, 125.10 and 90.00 degrees. The inequivalent atoms are Na at (0.000, 0.000, 0.000), Na at (0.000, 0.500, 0.000), Na at (0.250, 0.250, 0.000), Pu at (0.000, 0.000, 0.500), Pu at (0.250, 0.250, 0.500), Np at (0.000, 0.500, 0.500), Se at (0.006, 0.252, 0.270), Se at (0.242, 0.500, 0.730) and Se at (0.243, 0.000, 0.730).

Its density of states at the Fermi level is 2.599 states/eV per atom. Its formation energy (no corrections) is -1.371 eV per atom. The total magnetization is 19.00 μB/f.u.

---

(18)
VASP calculation (PBE-GGA) on DyMgTlGa after structural relaxation.

The space group is Pmmm (No. 47) and the conventional cell measures 4.355, 4.495 and 4.686 Å, with angles of 90.00, 90.00 and 90.00 degrees. The inequivalent atoms are Dy at (0.000, 0.000, 0.000), Mg at (0.000, 0.500, 0.500), Tl at (0.500, 0.000, 0.500) and Ga at (0.500, 0.500, 0.000).

The value obtained for the polymorph energy (0 for the lowest one) is 0.000 eV/atom. Its density of states at the Fermi level is 0.475 states/eV per atom. The total magnetization is 0.00 μB/f.u. The calculation puts the formation energy from the elements at -0.336 eV/atom.

---

(19)
VASP calculation (PBE-GGA) on LaSbIr2 after structural relaxation.

The space group is Pm (No. 6) and the conventional cell measures 4.803, 4.244 and 4.996 Å, with angles of 90.00, 113.82 and 90.00 degrees. The inequivalent atoms are La at (0.000, 0.000, 0.000), Sb at (0.345, 0.500, 0.634), Ir at (0.568, 0.000, 0.434) and Ir at (0.712, 0.500, 0.232).

Its density of states at the Fermi level is 0.451 states/eV per atom. Its formation energy (no corrections) is -0.434 eV per atom. The total magnetization is 0.00 μB/f.u.

---

(20)
VASP calculation (PBE-GGA) on YMg6Ag6 after structural relaxation.

The space group is Immm (No. 71) and the conventional cell measures 5.636, 9.487 and 9.899 Å, with angles of 90.00, 90.00 and 90.00 degrees. The inequivalent atoms are Y at (0.000, 0.000, 0.000), Mg at (0.000, 0.000, 0.345), Mg at (0.000, 0.341, 0.000), Mg at (0.000, 0.500, 0.310), Ag at (0.000, 0.275, 0.500) and Ag at (0.250, 0.250, 0.250).

Its density of states at the Fermi level is 0.580 states/eV per atom. The total magnetization is 0.00 μB/f.u. The calculation puts the formation energy from the elements at -0.187 eV/atom.

---

(21)
VASP calculation (PBE-GGA) on Ti2HgP2 after structural relaxation.

The space group is P4/mbm (No. 127) and the conventional cell measures 7.128, 7.128 and 3.194 Å, with angles of 90.00, 90.00 and 90.00 degrees. The inequivalent atoms are Ti at (0.140, 0.360, 0.000), Hg at (0.000, 0.000, 0.500) and P at (0.141, 0.641, 0.500).

Its density of states at the Fermi level is 0.523 states/eV per atom. The total magnetization is 0.00 μB/f.u. The calculation puts the formation energy from the elements at -0.525 eV/atom.

---

(22)
VASP calculation (PBE-GGA) on SrSc2Be after structural relaxation.

The space group is Immm (No. 71) and the conventional cell measures 3.388, 5.383 and 11.049 Å, with angles of 90.00, 90.00 and 90.00 degrees. The inequivalent atoms are Sr at (0.000, 0.000, 0.000), Sc at (0.000, 0.500, 0.197) and Be at (0.000, 0.000, 0.500).

Its density of states at the Fermi level is 1.502 states/eV per atom. The total magnetization is 0.00 μB/f.u. The calculation puts the formation energy from the elements at 0.278 eV/atom.

---

(23)
VASP calculation (PBE-GGA) on UNbTe3 after structural relaxation.

The space group is C2/m (No. 12) and the conventional cell measures 6.776, 12.799 and 7.048 Å, with angles of 90.00, 112.56 and 90.00 degrees. The inequivalent atoms are U at (0.000, 0.170, 0.000), Nb at (0.000, 0.315, 0.500), Te at (0.238, 0.500, 0.724) and Te at (0.245, 0.352, 0.264).

Its density of states at the Fermi level is 1.398 states/eV per atom. Its formation energy (no corrections) is -0.395 eV per atom. The total magnetization is 1.91 μB/f.u.